# Sm5Dy8Tl

A relaxed structure of Sm5Dy8Tl (PBE, the Alexandria database).

Computed properties:
calculated formation energy	188	meV per atom
DOS(E_F)	17.38	states/eV per cell
V	463.9	Å³ per cell
electronic total energy	-4.296	eV per atom

```
Sm5Dy8Tl
1.0
-0.282 4.536 -7.124
-0.178 -8.268 -1.735
-6.704 2.205 4.647
Sm Dy Tl
5 8 1
Direct
0.821 0.689 0.710
0.500 0.000 0.500
0.290 0.111 0.979
0.868 0.889 0.179
0.021 0.311 0.132
0.172 0.730 0.068
0.932 0.104 0.661
0.664 0.393 0.919
0.729 0.254 0.336
0.081 0.746 0.474
0.558 0.896 0.828
0.526 0.607 0.271
0.339 0.270 0.442
0.250 0.500 0.750
```



# SmDy3Tl2

A relaxed structure of SmDy3Tl2 (PBE, the Alexandria database).

Computed properties:
calculated formation energy	-270	meV per atom
DOS(E_F)	12.28	states/eV per cell
V	351.3	Å³ per cell
electronic total energy	-4.146	eV per atom
relative energy among the computed polymorphs	0.0	meV per atom

```
SmDy3Tl2
1.0
5.126 0.000 0.000
0.000 6.834 0.000
0.000 0.000 10.028
Tl Dy Sm
4 6 2
Direct
0.000 0.789 0.364
0.000 0.289 0.636
0.500 0.709 0.867
0.500 0.209 0.133
0.000 0.827 0.690
0.500 0.172 0.816
0.000 0.327 0.310
0.500 0.672 0.184
0.000 0.955 0.044
0.000 0.455 0.956
0.500 0.548 0.543
0.500 0.048 0.457
```



# Sm4DyTl3

A relaxed structure of Sm4DyTl3 (PBE, the Alexandria database).

Computed properties:
calculated formation energy	-235	meV per atom
DOS(E_F)	10.69	states/eV per cell
V	241.1	Å³ per cell
electronic total energy	-4.057	eV per atom
relative energy among the computed polymorphs	33.2	meV per atom

```
Sm4DyTl3
1.0
5.235 0.000 1.545
2.389 4.658 1.545
-0.065 -0.040 9.861
Sm Dy Tl
4 1 3
Direct
0.131 0.131 0.608
0.869 0.869 0.392
0.612 0.612 0.163
0.388 0.388 0.837
0.000 0.000 0.000
0.266 0.266 0.201
0.500 0.500 0.500
0.734 0.734 0.799
```



# SmDy4Tl7

A relaxed structure of SmDy4Tl7 (PBE, the Alexandria database).

Computed properties:
calculated formation energy	-114	meV per atom
DOS(E_F)	7.06	states/eV per cell
V	365.3	Å³ per cell
electronic total energy	-3.422	eV per atom

```
SmDy4Tl7
1.0
-0.368 5.695 -0.389
0.453 2.240 -9.680
-6.844 2.371 -0.863
Dy Tl Sm
4 7 1
Direct
0.280 0.328 0.112
0.586 0.217 0.611
0.720 0.672 0.888
0.414 0.783 0.389
0.785 0.896 0.534
0.080 0.673 0.166
0.500 0.000 0.000
0.634 0.456 0.276
0.366 0.544 0.724
0.215 0.104 0.466
0.920 0.327 0.834
0.000 0.000 0.000
```



# Sm4Dy5Tl2

A relaxed structure of Sm4Dy5Tl2 (PBE, the Alexandria database).

Computed properties:
calculated formation energy	240	meV per atom
DOS(E_F)	14.27	states/eV per cell
V	377.6	Å³ per cell
electronic total energy	-3.999	eV per atom

```
Sm4Dy5Tl2
1.0
5.246 0.000 0.000
2.623 4.543 0.000
2.623 1.514 15.843
Sm Dy Tl
4 5 2
Direct
0.573 0.573 0.280
0.427 0.427 0.720
0.275 0.275 0.174
0.725 0.725 0.826
0.198 0.198 0.405
0.802 0.802 0.595
0.648 0.648 0.055
0.500 0.500 0.500
0.352 0.352 0.945
0.122 0.122 0.633
0.878 0.878 0.367
```



# Sm3Dy2Tl2

A relaxed structure of Sm3Dy2Tl2 (PBE, the Alexandria database).

Computed properties:
calculated formation energy	-98	meV per atom
DOS(E_F)	7.21	states/eV per cell
V	211.0	Å³ per cell
electronic total energy	-4.112	eV per atom
relative energy among the computed polymorphs	100.6	meV per atom

```
Sm3Dy2Tl2
1.0
-2.909 -0.446 -4.008
2.379 -2.152 -1.487
-6.888 -9.682 2.992
Sm Tl Dy
3 2 2
Direct
0.856 0.000 0.288
0.000 0.000 0.000
0.144 0.000 0.712
0.573 0.500 0.854
0.427 0.500 0.146
0.287 0.500 0.427
0.713 0.500 0.573
```



# SmDyTmTl

A relaxed structure of SmDyTmTl (PBE, the Alexandria database).

Computed properties:
calculated formation energy	-47	meV per atom
DOS(E_F)	5.58	states/eV per cell
V	116.5	Å³ per cell
electronic total energy	-4.087	eV per atom
relative energy among the computed polymorphs	130.7	meV per atom

```
SmDyTmTl
1.0
-2.255 -1.851 -4.642
-0.925 -5.365 -0.649
-5.136 -1.918 0.022
Sm Dy Tm Tl
1 1 1 1
Direct
0.750 0.750 0.750
0.250 0.250 0.250
0.000 0.000 0.000
0.500 0.500 0.500
```



# Sm6Dy3Tm2Tl

A relaxed structure of Sm6Dy3Tm2Tl (PBE, the Alexandria database).

Computed properties:
calculated formation energy	-6	meV per atom
DOS(E_F)	14.15	states/eV per cell
V	379.2	Å³ per cell
electronic total energy	-4.459	eV per atom

```
Sm6Dy3Tm2Tl
1.0
6.171 -0.006 0.006
-3.089 5.342 0.006
-1.051 -1.820 11.507
Sm Dy Tm Tl
6 3 2 1
Direct
0.918 0.589 0.753
0.589 0.918 0.753
0.411 0.082 0.247
0.247 0.247 0.752
0.082 0.411 0.247
0.753 0.753 0.248
0.832 0.168 0.500
0.168 0.832 0.500
0.500 0.500 0.500
0.334 0.666 0.000
0.666 0.334 0.000
0.000 0.000 0.000
```



# SmDy2TmTl2

A relaxed structure of SmDy2TmTl2 (PBE, the Alexandria database).

Computed properties:
calculated formation energy	-267	meV per atom
DOS(E_F)	12.13	states/eV per cell
V	348.9	Å³ per cell
electronic total energy	-4.121	eV per atom

```
SmDy2TmTl2
1.0
5.101 0.000 0.000
0.000 6.861 0.000
0.000 0.000 9.970
Tm Tl Dy Sm
2 4 4 2
Direct
0.500 0.676 0.308
0.500 0.176 0.692
0.000 0.797 0.135
0.000 0.297 0.865
0.500 0.722 0.632
0.500 0.222 0.368
0.000 0.338 0.184
0.500 0.052 0.046
0.500 0.552 0.954
0.000 0.838 0.816
0.000 0.959 0.456
0.000 0.459 0.544
```



# SmDyTmTl

A relaxed structure of SmDyTmTl (PBE, the Alexandria database).

Computed properties:
calculated formation energy	-178	meV per atom
DOS(E_F)	5.34	states/eV per cell
V	115.0	Å³ per cell
electronic total energy	-4.218	eV per atom
relative energy among the computed polymorphs	0.0	meV per atom

```
SmDyTmTl
1.0
4.892 0.000 0.000
0.000 4.830 0.000
0.000 0.000 4.865
Tm Tl Dy Sm
1 1 1 1
Direct
0.000 0.500 0.500
0.000 0.000 0.000
0.500 0.500 0.000
0.500 0.000 0.500
```



# SmDy2TmTl4

A relaxed structure of SmDy2TmTl4 (PBE, the Alexandria database).

Computed properties:
calculated formation energy	-336	meV per atom
DOS(E_F)	6.63	states/eV per cell
V	220.6	Å³ per cell
electronic total energy	-3.818	eV per atom

```
SmDy2TmTl4
1.0
-1.473 1.527 -4.941
1.807 -2.685 -4.294
-6.864 -5.753 -2.658
Tl Dy Sm Tm
4 2 1 1
Direct
0.624 0.624 0.129
0.376 0.376 0.871
0.126 0.126 0.621
0.874 0.874 0.379
0.249 0.249 0.252
0.751 0.751 0.748
0.000 0.000 0.000
0.500 0.500 0.500
```



# SmDyYTl

A relaxed structure of SmDyYTl (PBE, the Alexandria database).

Computed properties:
calculated formation energy	-190	meV per atom
DOS(E_F)	4.90	states/eV per cell
V	116.8	Å³ per cell
electronic total energy	-4.728	eV per atom
relative energy among the computed polymorphs	0.0	meV per atom

```
SmDyYTl
1.0
-1.833 -3.921 2.255
1.335 -2.823 -3.824
4.300 -0.805 2.095
Tl Sm Y Dy
1 1 1 1
Direct
0.500 0.000 0.500
0.000 0.500 0.500
0.000 0.000 0.000
0.500 0.500 0.000
```



Repeat the second record exactly.
# SmDy3Tl2

A relaxed structure of SmDy3Tl2 (PBE, the Alexandria database).

Computed properties:
calculated formation energy	-270	meV per atom
DOS(E_F)	12.28	states/eV per cell
V	351.3	Å³ per cell
electronic total energy	-4.146	eV per atom
relative energy among the computed polymorphs	0.0	meV per atom

```
SmDy3Tl2
1.0
5.126 0.000 0.000
0.000 6.834 0.000
0.000 0.000 10.028
Tl Dy Sm
4 6 2
Direct
0.000 0.789 0.364
0.000 0.289 0.636
0.500 0.709 0.867
0.500 0.209 0.133
0.000 0.827 0.690
0.500 0.172 0.816
0.000 0.327 0.310
0.500 0.672 0.184
0.000 0.955 0.044
0.000 0.455 0.956
0.500 0.548 0.543
0.500 0.048 0.457
```



Q: The lowest DOS(E_F) belongs to which entry?
A: SmDyYTl



Q: Among the records above, which one has the lowest V?
A: number 10